Record 1
# PrMg2Cd6

A relaxed structure of PrMg2Cd6 (GGA-PBE, Alexandria via LeMat-Bulk).

abc: 8.8675 8.8675 3.1599
angles: 90.00 90.00 120.00
Space group P6/mmm (No. 191)
Symmetry-distinct sites (fractional):
Pr (0.0000, 0.0000, 0.0000)
Mg (0.3333, 0.6667, 0.0000)
Cd (0.0000, 0.3390, 0.5000)

Values from the calculation:
E   -14.7 eV per cell
Density of states at the Fermi level   4.57 states/eV/cell

Record 2
# Pr3Zn2Cd4

A relaxed structure of Pr3Zn2Cd4 (GGA-PBE, Alexandria via LeMat-Bulk).

abc: 11.1170 4.9593 9.2532
angles: 90.00 117.94 90.00
Space group C2/m (No. 12)
Symmetry-distinct sites (fractional):
Pr (0.0000, 0.0000, 0.0000)
Pr (0.1669, 0.5000, 0.6619)
Zn (0.1077, 0.5000, 0.2759)
Cd (0.0552, 0.0000, 0.3835)
Cd (0.2192, 0.5000, 0.0591)

Values from the calculation:
E   -46.9 eV per cell
Density of states at the Fermi level   14.41 states/eV/cell

Record 3
# Ti3Ru

A relaxed structure of Ti3Ru (GGA-PBE, Alexandria via LeMat-Bulk).

abc: 4.0000 4.0000 4.0000
angles: 90.00 90.00 90.00
Space group Pm-3m (No. 221)
Symmetry-distinct sites (fractional):
Ti (0.0000, 0.0000, 0.5000)
Ru (0.5000, 0.5000, 0.5000)

Values from the calculation:
E   -33.5 eV per cell
Density of states at the Fermi level   7.83 states/eV/cell

Record 4
# Sb2TeWI

A relaxed structure of Sb2TeWI (GGA-PBE, Alexandria via LeMat-Bulk).

abc: 5.7968 5.7968 5.6644
angles: 90.00 90.00 90.00
Space group P4/mmm (No. 123)
Symmetry-distinct sites (fractional):
Sb (0.0000, 0.5000, 0.0000)
Te (0.0000, 0.0000, 0.0000)
W (0.5000, 0.5000, 0.5000)
I (0.0000, 0.0000, 0.5000)

Values from the calculation:
E_form (uncorrected)   1828 meV/atom
E   -16.8 eV per cell
Density of states at the Fermi level   5.08 states/eV/cell